[1]
A plane-wave DFT calculation with GGA-PBE was carried out for Cs3RbCd6 after structural relaxation.

Computed properties:
Density (kg/m3): 3927
E_form (eV per atom): -0.039
Total energy (eV per atom): -0.94
N(E_F) (states/eV per cell): 4.39

abc: 7.989 7.989 9.741
angles: 113.07 113.07 62.46
Fractional positions:
Cs: 0.000 0.000 0.000
Cs: 0.398 0.398 0.160
Cs: 0.602 0.602 0.840
Rb: 0.000 0.000 0.500
Cd: 0.111 0.467 0.710
Cd: 0.253 0.253 0.420
Cd: 0.467 0.111 0.710
Cd: 0.533 0.889 0.290
Cd: 0.747 0.747 0.580
Cd: 0.889 0.533 0.290

***

[2]
A plane-wave DFT calculation with GGA-PBE was carried out for Cs5Rb3Cd2 after structural relaxation.

Computed properties:
Density (kg/m3): 2326
E_form (eV per atom): 0.012
Total energy (eV per atom): -0.89
N(E_F) (states/eV per cell): 21.41

abc: 17.003 17.003 5.658
angles: 90.00 90.00 90.00
Fractional positions:
Cs: 0.000 0.500 0.000
Cs: 0.075 0.218 0.000
Cs: 0.218 0.925 0.000
Cs: 0.282 0.425 0.000
Cs: 0.425 0.718 0.000
Cs: 0.500 0.000 0.000
Cs: 0.575 0.282 0.000
Cs: 0.718 0.575 0.000
Cs: 0.782 0.075 0.000
Cs: 0.925 0.782 0.000
Rb: 0.000 0.000 0.500
Rb: 0.169 0.669 0.500
Rb: 0.331 0.169 0.500
Rb: 0.500 0.500 0.500
Rb: 0.669 0.831 0.500
Rb: 0.831 0.331 0.500
Cd: 0.119 0.381 0.500
Cd: 0.381 0.881 0.500
Cd: 0.619 0.119 0.500
Cd: 0.881 0.619 0.500

***

[3]
A plane-wave DFT calculation with GGA-PBE was carried out for CsRbCd3 after structural relaxation.

Computed properties:
Density (kg/m3): 2991
E_form (eV per atom): 0.281
Distance to the lowest polymorph of the same formula (eV per atom): 0.2706
Total energy (eV per atom): -0.63
N(E_F) (states/eV per cell): 4.85

abc: 6.757 6.757 6.757
angles: 90.00 90.00 90.00
Fractional positions:
Cs: 0.000 0.000 0.000
Rb: 0.500 0.500 0.500
Cd: 0.000 0.500 0.500
Cd: 0.500 0.000 0.500
Cd: 0.500 0.500 0.000

***

[4]
A plane-wave DFT calculation with GGA-PBE was carried out for Cs12RbCd6 after structural relaxation.

Computed properties:
Density (kg/m3): 2740
E_form (eV per atom): -0.022
Total energy (eV per atom): -0.90
N(E_F) (states/eV per cell): 15.77

abc: 12.285 12.285 12.285
angles: 109.47 109.47 109.47
Fractional positions:
Cs: 0.124 0.311 0.812
Cs: 0.188 0.499 0.311
Cs: 0.188 0.876 0.689
Cs: 0.311 0.188 0.499
Cs: 0.311 0.812 0.124
Cs: 0.499 0.311 0.188
Cs: 0.501 0.689 0.812
Cs: 0.689 0.188 0.876
Cs: 0.689 0.812 0.501
Cs: 0.812 0.124 0.311
Cs: 0.812 0.501 0.689
Cs: 0.876 0.689 0.188
Rb: 0.000 0.000 0.000
Cd: 0.104 0.500 0.604
Cd: 0.396 0.896 0.500
Cd: 0.500 0.396 0.896
Cd: 0.500 0.604 0.104
Cd: 0.604 0.104 0.500
Cd: 0.896 0.500 0.396

***

[5]
A plane-wave DFT calculation with GGA-PBE was carried out for CsRb3Cd8 after structural relaxation.

Computed properties:
Density (kg/m3): 5162
E_form (eV per atom): -0.046
Distance to the lowest polymorph of the same formula (eV per atom): 0.0020
Total energy (eV per atom): -0.97
N(E_F) (states/eV per cell): 5.89

abc: 11.768 11.768 11.768
angles: 32.34 32.34 32.34
Fractional positions:
Cs: 0.000 0.000 0.000
Rb: 0.125 0.125 0.125
Rb: 0.500 0.500 0.500
Rb: 0.625 0.625 0.625
Cd: 0.063 0.063 0.559
Cd: 0.063 0.559 0.063
Cd: 0.065 0.564 0.564
Cd: 0.311 0.311 0.311
Cd: 0.559 0.063 0.063
Cd: 0.564 0.065 0.564
Cd: 0.564 0.564 0.065
Cd: 0.813 0.813 0.813

***

[6]
A plane-wave DFT calculation with GGA-PBE was carried out for CsRb3Cd8 after structural relaxation.

Computed properties:
Density (kg/m3): 5225
E_form (eV per atom): -0.048
Distance to the lowest polymorph of the same formula (eV per atom): 0.0000
Total energy (eV per atom): -0.97
N(E_F) (states/eV per cell): 4.19

abc: 6.559 6.559 10.991
angles: 90.00 90.00 120.00
Fractional positions:
Cs: 0.000 0.000 0.000
Rb: 0.000 0.000 0.390
Rb: 0.667 0.333 0.503
Rb: 0.667 0.333 0.885
Cd: 0.002 0.501 0.198
Cd: 0.171 0.342 0.692
Cd: 0.171 0.829 0.692
Cd: 0.333 0.667 0.439
Cd: 0.333 0.667 0.948
Cd: 0.499 0.501 0.198
Cd: 0.499 0.998 0.198
Cd: 0.658 0.829 0.692

***

> Which of these has the highest N(E_F)?

Cs5Rb3Cd2